HoUB12 | PBE | optimized geometry

The total moment is 2.80 Bohr magnetons per cell. The calculated total energy is -7.19 eV per atom. The formation energy comes out at -328 meV per atom.

It has space group P4/mmm (No. 123), with a = 4.080 Å, b = 4.080 Å, c = 8.170 Å, α = 90.00°, β = 90.00° and γ = 90.00°. The asymmetric unit holds Ho at (0.000, 0.000, 0.000), U at (0.000, 0.000, 0.500), B at (0.198, 0.500, 0.250), B at (0.500, 0.500, 0.099) and B at (0.500, 0.500, 0.401).